1.
A plane-wave DFT calculation with PBE was carried out for SrReRh after structural relaxation.

Results
Volume = 254.8 Å³ per cell
Energy of formation from the pure elements = 469.3 meV/atom
Excess energy over the best structure of this formula in the dataset = 1.11 eV per formula unit
Final energy = -6.6911 eV per atom
Space group = No. 62

a b c (Å): 5.3218 4.4969 10.6455
angles (deg): 90.00 90.00 90.00
Sites, in units of the cell vectors:
Sr  0.0889  0.2500  0.1239
Sr  0.4111  0.7500  0.6239
Sr  0.5889  0.2500  0.3761
Sr  0.9111  0.7500  0.8761
Re  0.0773  0.7500  0.3191
Re  0.4227  0.2500  0.8191
Re  0.5773  0.7500  0.1809
Re  0.9227  0.2500  0.6809
Rh  0.0846  0.2500  0.4424
Rh  0.4154  0.7500  0.9424
Rh  0.5846  0.2500  0.0576
Rh  0.9154  0.7500  0.5576

2.
A plane-wave DFT calculation with PBE was carried out for SrVRe2Rh after structural relaxation.

Results
Volume = 110.8 Å³ per cell
Energy of formation from the pure elements = 1362.2 meV/atom
Final energy = -7.2475 eV per atom
Space group = No. 123

a b c (Å): 4.8305 4.8305 4.7465
angles (deg): 90.00 90.00 90.00
Sites, in units of the cell vectors:
Sr  0.0000  0.0000  0.0000
V  0.5000  0.5000  0.0000
Re  0.0000  0.5000  0.5000
Re  0.5000  0.0000  0.5000
Rh  0.5000  0.5000  0.5000

3.
A plane-wave DFT calculation with PBE was carried out for TaRe2Rh after structural relaxation.

Results
Volume = 62.5 Å³ per cell
Energy of formation from the pure elements = -64.4 meV/atom
Excess energy over the best structure of this formula in the dataset = 0.34 eV per formula unit
Final energy = -11.0894 eV per atom
Space group = No. 6

a b c (Å): 2.7284 4.3749 5.3691
angles (deg): 90.00 102.65 90.00
Sites, in units of the cell vectors:
Ta  0.0000  0.0000  0.0000
Re  0.5000  0.0000  0.4931
Re  0.7852  0.5000  0.2629
Rh  0.1099  0.5000  0.7612

4.
A plane-wave DFT calculation with PBE was carried out for TaRe2Rh after structural relaxation.

Results
Volume = 62.8 Å³ per cell
Energy of formation from the pure elements = 8.1 meV/atom
Excess energy over the best structure of this formula in the dataset = 0.63 eV per formula unit
Final energy = -11.0170 eV per atom
Space group = No. 47

a b c (Å): 2.6948 4.0357 5.7746
angles (deg): 90.00 90.00 90.00
Sites, in units of the cell vectors:
Ta  0.0000  0.0000  0.0000
Re  0.5000  0.5000  0.2717
Re  0.5000  0.5000  0.7283
Rh  0.0000  0.0000  0.5000

5.
A plane-wave DFT calculation with PBE was carried out for TaRe2Rh after structural relaxation.

Results
Volume = 62.7 Å³ per cell
Energy of formation from the pure elements = 107.8 meV/atom
Excess energy over the best structure of this formula in the dataset = 1.03 eV per formula unit
Final energy = -10.9172 eV per atom
Space group = No. 123

a b c (Å): 3.2426 3.2426 5.9668
angles (deg): 90.00 90.00 90.00
Sites, in units of the cell vectors:
Ta  0.0000  0.0000  0.0000
Re  0.5000  0.5000  0.2504
Re  0.5000  0.5000  0.7496
Rh  0.0000  0.0000  0.5000

6.
A plane-wave DFT calculation with PBE was carried out for TaRe2Rh after structural relaxation.

Results
Volume = 62.6 Å³ per cell
Energy of formation from the pure elements = 34.4 meV/atom
Excess energy over the best structure of this formula in the dataset = 0.74 eV per formula unit
Final energy = -10.9906 eV per atom
Space group = No. 10

a b c (Å): 2.7325 4.6533 4.9456
angles (deg): 90.00 95.62 90.00
Sites, in units of the cell vectors:
Ta  0.0000  0.0000  0.0000
Re  0.2728  0.5000  0.7516
Re  0.7272  0.5000  0.2484
Rh  0.5000  0.0000  0.5000

7.
A plane-wave DFT calculation with PBE was carried out for TaRe2Rh after structural relaxation.

Results
Volume = 62.1 Å³ per cell
Energy of formation from the pure elements = -98.2 meV/atom
Excess energy over the best structure of this formula in the dataset = 0.21 eV per formula unit
Final energy = -11.1233 eV per atom
Space group = No. 12

a b c (Å): 4.8812 4.8812 4.8466
angles (deg): 98.95 98.95 33.00
Sites, in units of the cell vectors:
Ta  0.0000  0.0000  0.0000
Re  0.2424  0.2424  0.7408
Re  0.7576  0.7576  0.2592
Rh  0.5000  0.5000  0.5000

8.
A plane-wave DFT calculation with PBE was carried out for TaRe2Rh after structural relaxation.

Results
Volume = 62.3 Å³ per cell
Energy of formation from the pure elements = -100.4 meV/atom
Excess energy over the best structure of this formula in the dataset = 0.20 eV per formula unit
Final energy = -11.1255 eV per atom
Space group = No. 99

a b c (Å): 2.8061 2.8061 7.9170
angles (deg): 90.00 90.00 90.00
Sites, in units of the cell vectors:
Ta  0.0000  0.0000  0.0000
Re  0.0000  0.0000  0.5002
Re  0.5000  0.5000  0.2679
Rh  0.5000  0.5000  0.7404

9.
A plane-wave DFT calculation with PBE was carried out for Ta3ReRh after structural relaxation.

Results
Volume = 110.4 Å³ per cell
Energy of formation from the pure elements = 1387.2 meV/atom
Excess energy over the best structure of this formula in the dataset = 0.00 eV per formula unit
Final energy = -9.6842 eV per atom
Space group = No. 221

a b c (Å): 4.7973 4.7973 4.7973
angles (deg): 90.00 90.00 90.00
Sites, in units of the cell vectors:
Ta  0.0000  0.0000  0.5000
Ta  0.0000  0.5000  0.0000
Ta  0.5000  0.0000  0.0000
Re  0.0000  0.0000  0.0000
Rh  0.5000  0.5000  0.5000

10.
A plane-wave DFT calculation with PBE was carried out for Ta3ReRh after structural relaxation.

Results
Volume = 104.4 Å³ per cell
Energy of formation from the pure elements = 1484.7 meV/atom
Excess energy over the best structure of this formula in the dataset = 0.49 eV per formula unit
Final energy = -9.5868 eV per atom
Space group = No. 221

a b c (Å): 4.7088 4.7088 4.7088
angles (deg): 90.00 90.00 90.00
Sites, in units of the cell vectors:
Ta  0.0000  0.0000  0.5000
Ta  0.0000  0.5000  0.0000
Ta  0.5000  0.0000  0.0000
Re  0.5000  0.5000  0.5000
Rh  0.0000  0.0000  0.0000

11.
A plane-wave DFT calculation with PBE was carried out for TaRe2Rh2 after structural relaxation.

Results
Volume = 157.5 Å³ per cell
Energy of formation from the pure elements = 58.5 meV/atom
Final energy = -10.2318 eV per atom
Space group = No. 127

a b c (Å): 7.5672 7.5672 2.7497
angles (deg): 90.00 90.00 90.00
Sites, in units of the cell vectors:
Ta  0.0000  0.0000  0.0000
Ta  0.5000  0.5000  0.0000
Re  0.1218  0.3782  0.0000
Re  0.3782  0.8782  0.0000
Re  0.6218  0.1218  0.0000
Re  0.8782  0.6218  0.0000
Rh  0.1732  0.6732  0.5000
Rh  0.3268  0.1732  0.5000
Rh  0.6732  0.8268  0.5000
Rh  0.8268  0.3268  0.5000

12.
A plane-wave DFT calculation with PBE was carried out for TaRe2Rh after structural relaxation.

Results
Volume = 62.3 Å³ per cell
Energy of formation from the pure elements = -10.0 meV/atom
Excess energy over the best structure of this formula in the dataset = 0.56 eV per formula unit
Final energy = -11.0351 eV per atom
Space group = No. 123

a b c (Å): 2.7393 2.7393 8.2971
angles (deg): 90.00 90.00 90.00
Sites, in units of the cell vectors:
Ta  0.0000  0.0000  0.0000
Re  0.5000  0.5000  0.2660
Re  0.5000  0.5000  0.7340
Rh  0.0000  0.0000  0.5000

13.
A plane-wave DFT calculation with PBE was carried out for TaReRh6 after structural relaxation.

Results
Volume = 137.2 Å³ per cell
Energy of formation from the pure elements = 527.2 meV/atom
Final energy = -8.0240 eV per atom
Space group = No. 166

a b c (Å): 5.1670 5.1670 5.1670
angles (deg): 86.56 86.56 86.56
Sites, in units of the cell vectors:
Ta  0.0000  0.0000  0.0000
Re  0.5000  0.5000  0.5000
Rh  0.0458  0.6638  0.6638
Rh  0.3362  0.3362  0.9542
Rh  0.3362  0.9542  0.3362
Rh  0.6638  0.0458  0.6638
Rh  0.6638  0.6638  0.0458
Rh  0.9542  0.3362  0.3362

14.
A plane-wave DFT calculation with PBE was carried out for TaRe2Rh after structural relaxation.

Results
Volume = 62.9 Å³ per cell
Energy of formation from the pure elements = 176.1 meV/atom
Excess energy over the best structure of this formula in the dataset = 1.30 eV per formula unit
Final energy = -10.8490 eV per atom
Space group = No. 225

a b c (Å): 4.4631 4.4631 4.4631
angles (deg): 60.00 60.00 60.00
Sites, in units of the cell vectors:
Ta  0.0000  0.0000  0.0000
Re  0.2500  0.2500  0.2500
Re  0.7500  0.7500  0.7500
Rh  0.5000  0.5000  0.5000

15.
A plane-wave DFT calculation with PBE was carried out for TaRe4Rh after structural relaxation.

Results
Volume = 97.0 Å³ per cell
Energy of formation from the pure elements = 67.3 meV/atom
Final energy = -11.4321 eV per atom
Space group = No. 216

a b c (Å): 5.1569 5.1569 5.1569
angles (deg): 60.00 60.00 60.00
Sites, in units of the cell vectors:
Ta  0.0000  0.0000  0.0000
Re  0.1279  0.6240  0.6240
Re  0.6240  0.1279  0.6240
Re  0.6240  0.6240  0.1279
Re  0.6240  0.6240  0.6240
Rh  0.2500  0.2500  0.2500

16.
A plane-wave DFT calculation with PBE was carried out for TaReRh3 after structural relaxation.

Results
Volume = 99.7 Å³ per cell
Energy of formation from the pure elements = 1448.8 meV/atom
Excess energy over the best structure of this formula in the dataset = 0.00 eV per formula unit
Final energy = -7.8222 eV per atom
Space group = No. 221

a b c (Å): 4.6364 4.6364 4.6364
angles (deg): 90.00 90.00 90.00
Sites, in units of the cell vectors:
Ta  0.0000  0.0000  0.0000
Re  0.5000  0.5000  0.5000
Rh  0.0000  0.5000  0.5000
Rh  0.5000  0.0000  0.5000
Rh  0.5000  0.5000  0.0000

17.
A plane-wave DFT calculation with PBE was carried out for TaRe2Rh after structural relaxation.

Results
Volume = 62.6 Å³ per cell
Energy of formation from the pure elements = 95.5 meV/atom
Excess energy over the best structure of this formula in the dataset = 0.98 eV per formula unit
Final energy = -10.9296 eV per atom
Space group = No. 166

a b c (Å): 9.5379 9.5379 9.5379
angles (deg): 16.71 16.71 16.71
Sites, in units of the cell vectors:
Ta  0.0000  0.0000  0.0000
Re  0.2454  0.2454  0.2454
Re  0.7546  0.7546  0.7546
Rh  0.5000  0.5000  0.5000

18.
A plane-wave DFT calculation with PBE was carried out for TaRe2Rh after structural relaxation.

Results
Volume = 62.1 Å³ per cell
Energy of formation from the pure elements = -30.7 meV/atom
Excess energy over the best structure of this formula in the dataset = 0.48 eV per formula unit
Final energy = -11.0558 eV per atom
Space group = No. 65

a b c (Å): 4.8705 4.8705 2.7950
angles (deg): 90.00 90.00 110.49
Sites, in units of the cell vectors:
Ta  0.0000  0.0000  0.0000
Re  0.0000  0.5000  0.5000
Re  0.5000  0.0000  0.5000
Rh  0.5000  0.5000  0.0000

19.
A plane-wave DFT calculation with PBE was carried out for Ta4Re3Rh after structural relaxation.

Results
Volume = 131.3 Å³ per cell
Energy of formation from the pure elements = -382.5 meV/atom
Final energy = -11.8958 eV per atom
Space group = No. 47

a b c (Å): 3.2415 4.5069 8.9880
angles (deg): 90.00 90.00 90.00
Sites, in units of the cell vectors:
Ta  0.0000  0.0000  0.0000
Ta  0.0000  0.0000  0.5000
Ta  0.0000  0.5000  0.2471
Ta  0.0000  0.5000  0.7529
Re  0.5000  0.0000  0.2535
Re  0.5000  0.0000  0.7465
Re  0.5000  0.5000  0.0000
Rh  0.5000  0.5000  0.5000

20.
A plane-wave DFT calculation with PBE was carried out for TaRe2Rh after structural relaxation.

Results
Volume = 62.8 Å³ per cell
Energy of formation from the pure elements = 55.9 meV/atom
Excess energy over the best structure of this formula in the dataset = 0.82 eV per formula unit
Final energy = -10.9692 eV per atom
Space group = No. 216

a b c (Å): 4.4612 4.4612 4.4612
angles (deg): 60.00 60.00 60.00
Sites, in units of the cell vectors:
Ta  0.0000  0.0000  0.0000
Re  0.2500  0.2500  0.2500
Re  0.5000  0.5000  0.5000
Rh  0.7500  0.7500  0.7500

Number 1: total magnetization 0.00 μB/cell. Number 2: total magnetization 0.85 μB/cell. Number 3: total magnetization 0.00 μB/cell. Number 4: total magnetization 0.00 μB/cell. Number 5: total magnetization 0.00 μB/cell. Number 6: total magnetization 0.00 μB/cell. Number 7: total magnetization 0.00 μB/cell. Number 8: total magnetization 0.00 μB/cell. Number 9: total magnetization 0.00 μB/cell. Number 10: total magnetization 0.00 μB/cell. Number 11: total magnetization 0.00 μB/cell. Number 12: total magnetization 0.00 μB/cell. Number 13: total magnetization 0.00 μB/cell. Number 14: total magnetization 1.03 μB/cell. Number 15: total magnetization 0.00 μB/cell. Number 16: total magnetization 0.00 μB/cell. Number 17: total magnetization 0.00 μB/cell. Number 18: total magnetization 0.00 μB/cell. Number 19: total magnetization 0.00 μB/cell. Number 20: total magnetization 0.69 μB/cell.